Here is crystalline KEr2CuS4 at its relaxed geometry from Alexandria via LeMat-Bulk. Energies are from PBE-GGA. Values from VASP.

Quantum ESPRESSO input file:
```
&SYSTEM
  ibrav = 0, nat = 16, ntyp = 4
/
ATOMIC_SPECIES
K 39.10 K.upf
Er 167.26 Er.upf
Cu 63.55 Cu.upf
S 32.06 S.upf
CELL_PARAMETERS angstrom
1.9642 -6.7214 0.0000
1.9642 6.7214 0.0000
0.0000 0.0000 13.6657
ATOMIC_POSITIONS crystal
K 0.1098 0.8902 0.7500
K 0.8902 0.1098 0.2500
Er 0.3659 0.6341 0.5633
Er 0.3659 0.6341 0.9367
Er 0.6341 0.3659 0.0633
Er 0.6341 0.3659 0.4367
Cu 0.1629 0.8371 0.2500
Cu 0.8371 0.1629 0.7500
S 0.0000 0.0000 0.0000
S 0.0000 0.0000 0.5000
S 0.2625 0.7375 0.1098
S 0.2625 0.7375 0.3902
S 0.4312 0.5688 0.7500
S 0.5688 0.4312 0.2500
S 0.7375 0.2625 0.6098
S 0.7375 0.2625 0.8902
```

Output
crystal system	orthorhombic
uncorrected energy	-88.271	eV/cell
spin magnetization	0.00	μB/cell
space group	No. 63
E_form (uncorrected)	-1.663	eV per atom